! PBE-GGA Nd4Sm2Ga3O2, optimized geometry; values from VASP
&SYSTEM
  ibrav = 0, nat = 11, ntyp = 4
/
ATOMIC_SPECIES
Nd 144.24 Nd.upf
Sm 150.36 Sm.upf
Ga 69.72 Ga.upf
O 16.00 O.upf
CELL_PARAMETERS angstrom
-0.020 3.785 -2.991
-3.583 1.990 2.543
9.758 2.613 7.131
ATOMIC_POSITIONS crystal
Nd 0.416 0.916 0.833
Nd 0.916 0.416 0.833
Nd 0.084 0.584 0.167
Nd 0.584 0.084 0.167
Sm 0.297 0.297 0.594
Sm 0.703 0.703 0.406
Ga 0.000 0.000 0.000
Ga 0.171 0.171 0.341
Ga 0.829 0.829 0.659
O 0.396 0.396 0.791
O 0.604 0.604 0.209
! **Formation energy (no corrections)**: -29.54 kcal/mol of atoms

! PBE-GGA Nd2SmGaO, optimized geometry; values from VASP
&SYSTEM
  ibrav = 0, nat = 5, ntyp = 4
/
ATOMIC_SPECIES
Nd 144.24 Nd.upf
Sm 150.36 Sm.upf
Ga 69.72 Ga.upf
O 16.00 O.upf
CELL_PARAMETERS angstrom
4.826 0.000 0.000
0.000 4.917 0.000
0.000 0.000 4.917
ATOMIC_POSITIONS crystal
Nd 0.000 0.000 0.500
Nd 0.000 0.500 0.000
Sm 0.500 0.000 0.000
Ga 0.500 0.500 0.500
O 0.000 0.000 0.000
! **Formation energy (no corrections)**: -31.63 kcal/mol of atoms

! PBE-GGA Nd4GaSnO, optimized geometry; values from VASP
&SYSTEM
  ibrav = 0, nat = 14, ntyp = 4
/
ATOMIC_SPECIES
Nd 144.24 Nd.upf
Ga 69.72 Ga.upf
Sn 118.71 Sn.upf
O 16.00 O.upf
CELL_PARAMETERS angstrom
-3.727 2.341 -5.050
3.852 -3.308 -4.376
-3.253 -7.960 3.154
ATOMIC_POSITIONS crystal
Nd 0.919 0.250 0.839
Nd 0.438 0.750 0.876
Nd 0.081 0.750 0.161
Nd 0.562 0.250 0.124
Nd 0.500 0.500 0.500
Nd 0.000 0.000 0.500
Nd 0.500 0.000 0.500
Nd 0.000 0.500 0.500
Ga 0.618 0.750 0.235
Ga 0.382 0.250 0.765
Sn 0.109 0.250 0.218
Sn 0.891 0.750 0.782
O 0.229 0.750 0.459
O 0.771 0.250 0.541
! **Formation energy (no corrections)**: -27.02 kcal/mol of atoms